Record 1
DFT (GGA-PBE) results for a relaxed NaGe4Ir crystal.

a b c (Å): 6.2206 6.3097 6.6091
angles (deg): 85.34 85.75 64.54
Closest atoms and distances in Å follow each position.
Space group P-1 (No. 2)
Symmetry-distinct sites (fractional):
Na 0.0518 0.4180 0.2380 (multiplicity 2)  5 Ge 2.83-3.08, 1 Ir 3.16
Ge 0.1484 0.8761 0.1423 (multiplicity 2)  2 Ir 2.53-2.63, 2 Ge 2.64-2.74
Ge 0.3036 0.1326 0.5710 (multiplicity 2)  1 Ir 2.46, 2 Ge 2.46-2.47
Ge 0.3868 0.1904 0.9175 (multiplicity 2)  2 Ge 2.42-2.47, 1 Ir 2.45
Ge 0.3972 0.6600 0.6370 (multiplicity 2)  2 Ir 2.54-2.64, 2 Ge 2.65-2.78
Ir 0.0000 0.0000 0.5000 (multiplicity 1)  6 Ge 2.46-2.64
Ir 0.5000 0.5000 0.0000 (multiplicity 1)  6 Ge 2.45-2.63

## Properties
ΔE_f = -0.115 eV/atom
D(E_F) = 0.821 states/eV/f.u.
magnetization = 0.0000 μB/atom

Record 2
DFT (GGA-PBE) results for a relaxed Na4Sm3DySe8 crystal.

a b c (Å): 8.4220 8.4220 21.0397
angles (deg): 90.00 90.00 120.00
Closest atoms and distances in Å follow each position.
Space group R-3m (No. 166, hexagonal axes)
Symmetry-distinct sites (fractional):
Na 0.0000 0.0000 0.0000 (multiplicity 3)  6 Se 3.10
Na 0.0000 0.5000 0.0000 (multiplicity 9)  6 Se 3.06
Sm 0.0000 0.5000 0.5000 (multiplicity 9)  6 Se 2.94
Dy 0.0000 0.0000 0.5000 (multiplicity 3)  6 Se 2.90
Se 0.0000 0.0000 0.2448 (multiplicity 6)  3 Sm 2.94, 3 Na 3.06
Se 0.0047 0.5023 0.2440 (multiplicity 18)  1 Dy 2.90, 2 Sm 2.94, 3 Na 3.06-3.10

## Properties
D(E_F) = 0.000 states/eV/f.u.
raw formation energy = -1697 meV per atom
magnetization = 0.0000 μB/atom

Question: The highest D(E_F) belongs to which entry?
Answer: NaGe4Ir

Question: Look up the D(E_F) of the first one.
Answer: 0.821 states/eV/f.u.